The following is a DFT calculation (PBE-GGA) of crystalline La3PrEr3 at its relaxed geometry.

Summary:
Excess energy over the best structure of this formula in the dataset, kcal/mol of atoms: 2.21
SG: R-3 (148)
D(E_F), states/eV/atom: 1.37
Total energy, eV/atom: -4.617
DFT formation energy, eV per atom: 0.13
Calculated density, Mg/m³: 7.164
Magnetic moment, μB per atom: 0.00

a = 8.3399 Å, b = 8.3399 Å, c = 8.3399 Å
α = 69.44°, β = 69.44°, γ = 69.44°
Fractional positions:
La 0.1270 0.8357 0.2699
La 0.1643 0.7301 0.8730
La 0.2699 0.1270 0.8357
La 0.7301 0.8730 0.1643
La 0.8357 0.2699 0.1270
La 0.8730 0.1643 0.7301
Pr 0.4089 0.4089 0.4089
Pr 0.5911 0.5911 0.5911
Er 0.0261 0.4458 0.3101
Er 0.3101 0.0261 0.4458
Er 0.4458 0.3101 0.0261
Er 0.5542 0.6899 0.9739
Er 0.6899 0.9739 0.5542
Er 0.9739 0.5542 0.6899